Record 1
{"formula": "KRbSbI2", "functional": "PBE", "state": "optimized geometry", "lattice": [[6.696, 0.000, 0.000], [0.000, 6.696, 0.000], [0.000, 0.000, 6.602]], "species": ["K", "Rb", "Sb", "I", "I"], "frac_coords": [[0.000, 0.000, 0.000], [0.500, 0.500, 0.500], [0.000, 0.000, 0.500], [0.000, 0.500, 0.000], [0.500, 0.000, 0.000]], "e_form_raw_ev_per_fu": -2.18, "de_polymorph_ev_per_atom": 0.000, "e_tot_ev_per_atom": -2.2936, "space_group": "P4/mmm, No. 123", "crystal_system": "tetragonal", "vol_a3_per_fu": 296.0}

***

Record 2
{"formula": "Nd3Pu2UP6", "functional": "PBE", "state": "optimized geometry", "lattice": [[3.519, -6.096, 0.000], [3.519, 6.096, 0.000], [-2.345, 0.000, 6.630]], "species": ["Nd", "Nd", "Nd", "Pu", "Pu", "U", "P", "P", "P", "P", "P", "P"], "frac_coords": [[0.000, 0.000, 0.000], [0.332, 0.668, 0.000], [0.668, 0.332, 0.000], [0.166, 0.834, 0.500], [0.834, 0.166, 0.500], [0.500, 0.500, 0.500], [0.096, 0.423, 0.268], [0.251, 0.251, 0.732], [0.423, 0.096, 0.268], [0.577, 0.904, 0.732], [0.749, 0.749, 0.268], [0.904, 0.577, 0.732]], "e_tot_ev_per_atom": -8.5265, "space_group": "C2/m, No. 12", "crystal_system": "monoclinic", "vol_a3_per_fu": 284.5}

***

Record 3
{"formula": "Pr2InGa4Au3", "functional": "PBE", "state": "optimized geometry", "lattice": [[4.397, 0.000, 0.000], [0.000, 4.397, 0.000], [0.000, 0.000, 11.115]], "species": ["Pr", "Pr", "In", "Ga", "Ga", "Ga", "Ga", "Au", "Au", "Au"], "frac_coords": [[0.000, 0.500, 0.245], [0.500, 0.000, 0.755], [0.000, 0.000, 0.500], [0.000, 0.000, 0.000], [0.000, 0.500, 0.646], [0.500, 0.000, 0.354], [0.500, 0.500, 0.000], [0.000, 0.500, 0.872], [0.500, 0.000, 0.128], [0.500, 0.500, 0.500]], "e_tot_ev_per_atom": -4.0386, "space_group": "P-4m2, No. 115", "crystal_system": "tetragonal", "vol_a3_per_fu": 214.9}

***

Record 4
{"formula": "ZrIn2C", "functional": "PBE", "state": "optimized geometry", "lattice": [[0.000, 3.435, 3.435], [3.435, 0.000, 3.435], [3.435, 3.435, 0.000]], "species": ["Zr", "In", "In", "C"], "frac_coords": [[0.000, 0.000, 0.000], [0.250, 0.250, 0.250], [0.750, 0.750, 0.750], [0.500, 0.500, 0.500]], "de_polymorph_ev_per_atom": 0.809, "e_tot_ev_per_atom": -4.4622, "space_group": "Fm-3m, No. 225", "crystal_system": "cubic", "vol_a3_per_fu": 81.0}

***

Record 5
{"formula": "Mg2PaZnO6", "functional": "PBE", "state": "optimized geometry", "lattice": [[2.691, 1.554, 4.793], [-2.691, 1.554, 4.793], [0.000, -3.108, 4.793]], "species": ["Mg", "Mg", "Pa", "Zn", "O", "O", "O", "O", "O", "O"], "frac_coords": [[0.000, 0.000, 0.000], [0.498, 0.498, 0.498], [0.208, 0.208, 0.208], [0.710, 0.710, 0.710], [0.105, 0.407, 0.803], [0.301, 0.895, 0.616], [0.407, 0.803, 0.105], [0.616, 0.301, 0.895], [0.803, 0.105, 0.407], [0.895, 0.616, 0.301]], "e_form_raw_ev_per_fu": -24.68, "e_tot_ev_per_atom": -6.8386, "space_group": "R3, No. 146", "crystal_system": "trigonal", "vol_a3_per_fu": 120.2}

***

Record 6
{"formula": "Tm2PaRu", "functional": "PBE", "state": "optimized geometry", "lattice": [[1.618, 0.934, 10.555], [-1.618, 0.934, 10.555], [0.000, -1.868, 10.555]], "species": ["Tm", "Tm", "Pa", "Ru"], "frac_coords": [[0.102, 0.102, 0.102], [0.898, 0.898, 0.898], [0.000, 0.000, 0.000], [0.500, 0.500, 0.500]], "de_polymorph_ev_per_atom": 0.260, "e_tot_ev_per_atom": -6.7874, "space_group": "R-3m, No. 166", "crystal_system": "trigonal", "vol_a3_per_fu": 95.7}

***

Record 7
{"formula": "Zr5Ag24", "functional": "PBE", "state": "optimized geometry", "lattice": [[-5.150, 5.150, 5.150], [5.150, -5.150, 5.150], [5.150, 5.150, -5.150]], "species": ["Zr", "Zr", "Zr", "Zr", "Zr", "Ag", "Ag", "Ag", "Ag", "Ag", "Ag", "Ag", "Ag", "Ag", "Ag", "Ag", "Ag", "Ag", "Ag", "Ag", "Ag", "Ag", "Ag", "Ag", "Ag", "Ag", "Ag", "Ag", "Ag"], "frac_coords": [[0.000, 0.000, 0.000], [0.000, 0.000, 0.645], [0.000, 0.645, 0.000], [0.355, 0.355, 0.355], [0.645, 0.000, 0.000], [0.000, 0.190, 0.376], [0.000, 0.376, 0.190], [0.000, 0.405, 0.683], [0.000, 0.683, 0.405], [0.186, 0.810, 0.810], [0.190, 0.000, 0.376], [0.190, 0.376, 0.000], [0.278, 0.595, 0.595], [0.317, 0.317, 0.722], [0.317, 0.722, 0.317], [0.376, 0.000, 0.190], [0.376, 0.190, 0.000], [0.405, 0.000, 0.683], [0.405, 0.683, 0.000], [0.595, 0.278, 0.595], [0.595, 0.595, 0.278], [0.624, 0.624, 0.814], [0.624, 0.814, 0.624], [0.683, 0.000, 0.405], [0.683, 0.405, 0.000], [0.722, 0.317, 0.317], [0.810, 0.186, 0.810], [0.810, 0.810, 0.186], [0.814, 0.624, 0.624]], "e_tot_ev_per_atom": -3.7872, "space_group": "I-43m, No. 217", "crystal_system": "cubic", "vol_a3_per_fu": 546.3}

***

Record 8
{"formula": "GdSn2", "functional": "PBE", "state": "optimized geometry", "lattice": [[-1.936, 1.936, 5.392], [1.936, -1.936, 5.392], [1.936, 1.936, -5.392]], "species": ["Gd", "Sn", "Sn"], "frac_coords": [[0.000, 0.000, 0.000], [0.318, 0.318, 0.000], [0.682, 0.682, 0.000]], "e_tot_ev_per_atom": -7.7852, "space_group": "I4/mmm, No. 139", "crystal_system": "tetragonal", "vol_a3_per_fu": 80.9}

***

Record 9
{"formula": "ZrZn3Au3", "functional": "PBE", "state": "optimized geometry", "lattice": [[7.902, 0.000, 0.000], [0.000, 7.902, 0.000], [0.000, 0.000, 7.902]], "species": ["Zr", "Zr", "Zr", "Zr", "Zn", "Zn", "Zn", "Zn", "Zn", "Zn", "Zn", "Zn", "Zn", "Zn", "Zn", "Zn", "Au", "Au", "Au", "Au", "Au", "Au", "Au", "Au", "Au", "Au", "Au", "Au"], "frac_coords": [[0.045, 0.455, 0.545], [0.455, 0.545, 0.045], [0.545, 0.045, 0.455], [0.955, 0.955, 0.955], [0.134, 0.634, 0.866], [0.172, 0.172, 0.172], [0.177, 0.823, 0.323], [0.323, 0.177, 0.823], [0.328, 0.828, 0.672], [0.366, 0.366, 0.366], [0.634, 0.866, 0.134], [0.672, 0.328, 0.828], [0.677, 0.677, 0.677], [0.823, 0.323, 0.177], [0.828, 0.672, 0.328], [0.866, 0.134, 0.634], [0.018, 0.306, 0.888], [0.112, 0.518, 0.194], [0.194, 0.112, 0.518], [0.306, 0.888, 0.018], [0.388, 0.482, 0.694], [0.482, 0.694, 0.388], [0.518, 0.194, 0.112], [0.612, 0.982, 0.806], [0.694, 0.388, 0.482], [0.806, 0.612, 0.982], [0.888, 0.018, 0.306], [0.982, 0.806, 0.612]], "de_polymorph_ev_per_atom": 0.000, "e_tot_ev_per_atom": -3.4614, "space_group": "P2_13, No. 198", "crystal_system": "cubic", "vol_a3_per_fu": 123.3}

***

Record 10
{"formula": "SrMg11Al", "functional": "PBE", "state": "optimized geometry", "lattice": [[2.966, -7.310, 0.000], [2.966, 7.310, 0.000], [-2.850, 0.000, 7.303]], "species": ["Sr", "Mg", "Mg", "Mg", "Mg", "Mg", "Mg", "Mg", "Mg", "Mg", "Mg", "Mg", "Al"], "frac_coords": [[0.000, 0.000, 0.000], [0.000, 0.000, 0.500], [0.000, 0.500, 0.000], [0.005, 0.354, 0.359], [0.287, 0.502, 0.778], [0.354, 0.005, 0.359], [0.498, 0.713, 0.222], [0.500, 0.000, 0.000], [0.502, 0.287, 0.778], [0.646, 0.995, 0.641], [0.713, 0.498, 0.222], [0.995, 0.646, 0.641], [0.500, 0.500, 0.500]], "e_tot_ev_per_atom": -1.8117, "space_group": "C2/m, No. 12", "crystal_system": "monoclinic", "vol_a3_per_fu": 316.7}

***

Record 11
{"formula": "Na8Tl2Sb", "functional": "PBE", "state": "optimized geometry", "lattice": [[8.832, -2.520, 0.000], [8.832, 2.520, 0.000], [-1.326, 0.000, 7.217]], "species": ["Na", "Na", "Na", "Na", "Na", "Na", "Na", "Na", "Tl", "Tl", "Sb"], "frac_coords": [[0.042, 0.042, 0.251], [0.137, 0.137, 0.684], [0.324, 0.324, 0.592], [0.403, 0.403, 0.066], [0.597, 0.597, 0.934], [0.676, 0.676, 0.408], [0.863, 0.863, 0.316], [0.958, 0.958, 0.749], [0.221, 0.221, 0.128], [0.779, 0.779, 0.872], [0.500, 0.500, 0.500]], "e_form_raw_ev_per_fu": -1.89, "e_tot_ev_per_atom": -1.9362, "space_group": "C2/m, No. 12", "crystal_system": "monoclinic", "vol_a3_per_fu": 321.3}

***

Record 12
{"formula": "LaIn2CoTe", "functional": "PBE", "state": "optimized geometry", "lattice": [[5.017, 0.000, 0.000], [0.000, 5.017, 0.000], [0.000, 0.000, 5.158]], "species": ["La", "In", "In", "Co", "Te"], "frac_coords": [[0.000, 0.000, 0.000], [0.000, 0.500, 0.500], [0.500, 0.000, 0.500], [0.000, 0.000, 0.500], [0.500, 0.500, 0.000]], "e_form_raw_ev_per_fu": -2.96, "e_tot_ev_per_atom": -4.7222, "space_group": "P4/mmm, No. 123", "crystal_system": "tetragonal", "vol_a3_per_fu": 129.8}

***

Record 13
{"formula": "TbPm6Tm2Sc", "functional": "PBE", "state": "optimized geometry", "lattice": [[4.615, -7.587, 0.000], [4.615, 7.587, 0.000], [-1.001, 0.000, 9.302]], "species": ["Tb", "Tb", "Pm", "Pm", "Pm", "Pm", "Pm", "Pm", "Pm", "Pm", "Pm", "Pm", "Pm", "Pm", "Tm", "Tm", "Tm", "Tm", "Sc", "Sc"], "frac_coords": [[0.028, 0.972, 0.750], [0.972, 0.028, 0.250], [0.007, 0.442, 0.306], [0.121, 0.768, 0.052], [0.232, 0.879, 0.448], [0.290, 0.514, 0.888], [0.442, 0.007, 0.806], [0.486, 0.710, 0.612], [0.514, 0.290, 0.388], [0.558, 0.993, 0.194], [0.710, 0.486, 0.112], [0.768, 0.121, 0.552], [0.879, 0.232, 0.948], [0.993, 0.558, 0.694], [0.206, 0.305, 0.549], [0.305, 0.206, 0.049], [0.695, 0.794, 0.951], [0.794, 0.695, 0.451], [0.420, 0.580, 0.250], [0.580, 0.420, 0.750]], "e_tot_ev_per_atom": -4.7134, "space_group": "C2/c, No. 15", "crystal_system": "monoclinic", "vol_a3_per_fu": 325.7}

***

Record 14
{"formula": "Er12BiPt6", "functional": "PBE", "state": "optimized geometry", "lattice": [[-4.975, 4.975, 4.975], [4.975, -4.975, 4.975], [4.975, 4.975, -4.975]], "species": ["Er", "Er", "Er", "Er", "Er", "Er", "Er", "Er", "Er", "Er", "Er", "Er", "Bi", "Pt", "Pt", "Pt", "Pt", "Pt", "Pt"], "frac_coords": [[0.121, 0.819, 0.303], [0.181, 0.303, 0.484], [0.181, 0.697, 0.879], [0.303, 0.121, 0.819], [0.303, 0.484, 0.181], [0.484, 0.181, 0.303], [0.516, 0.819, 0.697], [0.697, 0.516, 0.819], [0.697, 0.879, 0.181], [0.819, 0.303, 0.121], [0.819, 0.697, 0.516], [0.879, 0.181, 0.697], [0.000, 0.000, 0.000], [0.139, 0.639, 0.500], [0.361, 0.500, 0.861], [0.500, 0.139, 0.639], [0.500, 0.861, 0.361], [0.639, 0.500, 0.139], [0.861, 0.361, 0.500]], "e_tot_ev_per_atom": -5.8966, "space_group": "Im-3, No. 204", "crystal_system": "cubic", "vol_a3_per_fu": 492.6}

***

Record 15
{"formula": "Tl6HgPd12", "functional": "PBE", "state": "optimized geometry", "lattice": [[6.083, 3.512, 2.835], [-6.083, 3.512, 2.835], [0.000, -7.024, 2.835]], "species": ["Tl", "Tl", "Tl", "Tl", "Tl", "Tl", "Hg", "Pd", "Pd", "Pd", "Pd", "Pd", "Pd", "Pd", "Pd", "Pd", "Pd", "Pd", "Pd"], "frac_coords": [[0.026, 0.288, 0.405], [0.288, 0.405, 0.026], [0.405, 0.026, 0.288], [0.595, 0.974, 0.712], [0.712, 0.595, 0.974], [0.974, 0.712, 0.595], [0.500, 0.500, 0.500], [0.021, 0.903, 0.321], [0.097, 0.679, 0.979], [0.231, 0.664, 0.371], [0.321, 0.021, 0.903], [0.336, 0.629, 0.769], [0.371, 0.231, 0.664], [0.629, 0.769, 0.336], [0.664, 0.371, 0.231], [0.679, 0.979, 0.097], [0.769, 0.336, 0.629], [0.903, 0.321, 0.021], [0.979, 0.097, 0.679]], "e_tot_ev_per_atom": -4.1632, "space_group": "R-3, No. 148", "crystal_system": "trigonal", "vol_a3_per_fu": 363.4}

***

Record 16
{"formula": "GeWAu2", "functional": "PBE", "state": "optimized geometry", "lattice": [[-3.676, 3.676, 2.682], [3.676, -3.676, 2.682], [3.676, 3.676, -2.682]], "species": ["Ge", "Ge", "W", "W", "Au", "Au", "Au", "Au"], "frac_coords": [[0.000, 0.000, 0.000], [0.750, 0.250, 0.500], [0.250, 0.750, 0.500], [0.500, 0.500, 0.000], [0.109, 0.625, 0.984], [0.375, 0.359, 0.484], [0.641, 0.125, 0.016], [0.875, 0.891, 0.516]], "e_tot_ev_per_atom": -5.4729, "space_group": "I-42d, No. 122", "crystal_system": "tetragonal", "vol_a3_per_fu": 72.5}

***

Record 17
{"formula": "Na2AlBr2", "functional": "PBE", "state": "optimized geometry", "lattice": [[-2.715, 2.715, 5.824], [2.715, -2.715, 5.824], [2.715, 2.715, -5.824]], "species": ["Na", "Na", "Al", "Br", "Br"], "frac_coords": [[0.167, 0.167, 0.000], [0.833, 0.833, 0.000], [0.500, 0.500, 0.000], [0.250, 0.750, 0.500], [0.750, 0.250, 0.500]], "e_form_raw_ev_per_fu": -2.73, "de_polymorph_ev_per_atom": 0.078, "e_tot_ev_per_atom": -2.4913, "space_group": "I4/mmm, No. 139", "crystal_system": "tetragonal", "vol_a3_per_fu": 171.7}

***

Record 18
{"formula": "CaH3Ir", "functional": "PBE", "state": "optimized geometry", "lattice": [[3.971, 0.000, 0.000], [0.000, 4.678, 0.000], [-1.979, 0.000, 6.017]], "species": ["Ca", "Ca", "H", "H", "H", "H", "H", "H", "Ir", "Ir"], "frac_coords": [[0.130, 0.000, 0.258], [0.870, 0.500, 0.742], [0.302, 0.220, 0.605], [0.320, 0.745, 0.640], [0.457, 0.356, 0.917], [0.543, 0.856, 0.083], [0.680, 0.245, 0.360], [0.698, 0.720, 0.395], [0.411, 0.007, 0.822], [0.589, 0.507, 0.178]], "e_tot_ev_per_atom": -4.6396, "space_group": "P2_1, No. 4", "crystal_system": "monoclinic", "vol_a3_per_fu": 55.9}

***

Record 19
{"formula": "BaCa4Zn", "functional": "PBE", "state": "optimized geometry", "lattice": [[3.885, 0.000, 0.000], [0.000, 3.885, 0.000], [0.000, 0.000, 15.528]], "species": ["Ba", "Ca", "Ca", "Ca", "Ca", "Zn"], "frac_coords": [[0.000, 0.000, 0.000], [0.000, 0.000, 0.389], [0.000, 0.000, 0.611], [0.500, 0.500, 0.208], [0.500, 0.500, 0.792], [0.500, 0.500, 0.500]], "de_polymorph_ev_per_atom": 0.000, "e_tot_ev_per_atom": -1.9163, "space_group": "P4/mmm, No. 123", "crystal_system": "tetragonal", "vol_a3_per_fu": 234.4}

***

Record 20
{"formula": "KLi6Tl12", "functional": "PBE", "state": "optimized geometry", "lattice": [[6.623, 3.824, 3.371], [-6.623, 3.824, 3.371], [0.000, -7.648, 3.371]], "species": ["K", "Li", "Li", "Li", "Li", "Li", "Li", "Tl", "Tl", "Tl", "Tl", "Tl", "Tl", "Tl", "Tl", "Tl", "Tl", "Tl", "Tl"], "frac_coords": [[0.000, 0.000, 0.000], [0.265, 0.265, 0.708], [0.265, 0.708, 0.265], [0.292, 0.735, 0.735], [0.708, 0.265, 0.265], [0.735, 0.292, 0.735], [0.735, 0.735, 0.292], [0.119, 0.500, 0.881], [0.119, 0.881, 0.500], [0.160, 0.419, 0.419], [0.419, 0.160, 0.419], [0.419, 0.419, 0.160], [0.500, 0.119, 0.881], [0.500, 0.881, 0.119], [0.581, 0.581, 0.840], [0.581, 0.840, 0.581], [0.840, 0.581, 0.581], [0.881, 0.119, 0.500], [0.881, 0.500, 0.119]], "e_tot_ev_per_atom": -2.2520, "space_group": "R-3m, No. 166", "crystal_system": "trigonal", "vol_a3_per_fu": 512.3}

***

Record 21
{"formula": "ZnGaSb2I", "functional": "PBE", "state": "optimized geometry", "lattice": [[5.197, 0.000, 0.000], [0.000, 5.197, 0.000], [0.000, 0.000, 6.055]], "species": ["Zn", "Ga", "Sb", "Sb", "I"], "frac_coords": [[0.000, 0.000, 0.000], [0.500, 0.500, 0.500], [0.000, 0.500, 0.000], [0.500, 0.000, 0.000], [0.000, 0.000, 0.500]], "e_form_raw_ev_per_fu": 1.98, "de_polymorph_ev_per_atom": 0.000, "e_tot_ev_per_atom": -2.4222, "space_group": "P4/mmm, No. 123", "crystal_system": "tetragonal", "vol_a3_per_fu": 163.6}